[1]
The following is a GGA-PBE calculation of a relaxed structure of GeO2, from Alexandria via LeMat-Bulk.

Values from the calculation:
Mass density (g/cm³): 3.684
Formation energy from raw total energies (eV per formula unit): -4.84
DOS(E_F) (states/eV/atom): 0.000

abc: 5.089 5.089 7.285
angles: 90.00 90.00 90.00
Space group P4_32_12 (No. 96)
Inequivalent atoms, fractional coordinates:
Ge (0.181, 0.181, 0.000) [4 per cell]
O (0.157, 0.772, 0.546) [8 per cell]

***

[2]
The following is a GGA-PBE calculation of a relaxed structure of NpNiPt3, from Alexandria via LeMat-Bulk.

Values from the calculation:
Mass density (g/cm³): 16.959
DOS(E_F) (states/eV/atom): 2.262
Energy of formation (eV per atom): -0.304

abc: 4.291 6.594 6.098
angles: 90.00 90.00 90.00
Space group Pmmn (No. 59, origin choice 2)
Inequivalent atoms, fractional coordinates:
Np (0.250, 0.250, 0.250) [2 per cell]
Ni (0.250, 0.750, 0.045) [2 per cell]
Pt (0.250, 0.049, 0.778) [4 per cell]
Pt (0.250, 0.750, 0.450) [2 per cell]